Computed, not measured: a relaxed Tb2CuPPt6 crystal at the PBE-GGA level of DFT.

Computed properties:
The space group is Pmmn, No. 59. Its calculated formation energy is -821 meV/atom. The density of states at the Fermi level is 6.63 states/eV/cell. As for the size of the total moment: 0.0000 μB/atom.

Structure (extended XYZ):
```
20
Lattice="-1.823 3.877 -3.498 -7.247 -0.299 3.445 2.389 6.139 5.559" Properties=species:S:1:pos:R:3 pbc="T T T"
Tb -5.527 3.405 2.282
Tb -0.126 4.671 5.244
Tb -4.448 6.176 4.791
Tb -1.437 1.304 2.194
Cu -3.989 2.855 5.244
Cu -2.975 1.853 -0.768
P -1.411 4.938 1.836
P -5.553 -0.229 2.640
Pt -1.149 3.451 0.052
Pt 0.036 6.495 2.808
Pt -5.815 1.258 4.424
Pt -4.610 4.352 7.227
Pt -6.399 3.732 5.311
Pt -7.321 5.694 3.542
Pt -2.553 3.871 3.505
Pt -3.493 5.871 1.700
Pt -5.293 2.714 -0.722
Pt -4.411 0.838 0.971
Pt -0.565 0.976 -0.835
Pt -1.465 2.892 -2.564
```

=====

Computed, not measured: a relaxed Cu2PPtW crystal at the PBE-GGA level of DFT.

Computed properties:
The space group is P4/mmm, No. 123. Its calculated formation energy is 867 meV/atom. The density of states at the Fermi level is 4.56 states/eV/cell. As for the size of the total moment: 0.0001 μB/atom.

Structure (extended XYZ):
```
5
Lattice="4.208 0.000 0.000 0.000 4.507 0.000 0.000 0.000 4.208" Properties=species:S:1:pos:R:3 pbc="T T T"
P 0.000 0.000 0.000
Cu 0.000 0.000 2.104
Cu 2.104 0.000 0.000
W 2.104 2.253 2.104
Pt 0.000 2.253 0.000
```

=====

Computed, not measured: a relaxed Y2CuPPt6 crystal at the PBE-GGA level of DFT.

Computed properties:
The space group is Pmmn, No. 59. Its calculated formation energy is -809 meV/atom. The density of states at the Fermi level is 6.79 states/eV/cell. As for the size of the total moment: 0.0000 μB/atom.

Structure (extended XYZ):
```
20
Lattice="-0.629 -4.251 3.481 3.691 -4.836 -5.238 7.591 1.855 3.636" Properties=species:S:1:pos:R:3 pbc="T T T"
Y 4.456 -5.132 -1.069
Y 6.888 0.118 1.389
Y 7.874 -4.297 0.569
Y 2.716 -0.901 -0.610
Cu 6.434 -2.529 -1.926
Cu 0.738 -3.504 0.247
P 4.343 -2.327 2.336
P 2.829 -3.707 -4.015
Pt 2.027 -2.219 2.050
Pt 5.791 -1.299 3.852
Pt 5.144 -3.815 -3.729
Pt 8.972 -2.880 -1.895
Pt 7.277 -4.888 -2.483
Pt 6.959 -7.039 -0.722
Pt 5.325 -2.304 0.274
Pt 5.000 -4.498 2.071
Pt 1.543 -5.786 -0.269
Pt 1.847 -3.730 -1.953
Pt -0.105 -1.146 0.804
Pt -0.416 -3.246 2.525
```

=====

Computed, not measured: a relaxed PuCu3P3 crystal at the PBE-GGA level of DFT.

Computed properties:
The space group is R-3, No. 148. Its calculated formation energy is -347 meV/atom. The density of states at the Fermi level is 20.72 states/eV/cell. As for the size of the total moment: 0.6275 μB/atom.

Structure (extended XYZ):
```
14
Lattice="-4.851 0.458 -4.519 1.054 -2.066 -6.227 -3.311 -6.403 -1.982" Properties=species:S:1:pos:R:3 pbc="T T T"
Pu -1.266 -0.538 -3.582
Pu -5.841 -7.473 -9.146
Cu -3.429 -5.441 -8.258
Cu -5.809 -3.889 -5.612
Cu -2.189 -4.881 -4.622
Cu -4.919 -3.129 -8.106
Cu -1.298 -4.121 -7.115
Cu -3.679 -2.570 -4.469
P -1.465 -2.729 -5.250
P -5.012 -1.752 -6.201
P -2.697 -3.269 -8.804
P -4.410 -4.742 -3.923
P -2.096 -6.259 -6.527
P -5.642 -5.282 -7.477
```

=====

Computed, not measured: a relaxed PuCuP2 crystal at the PBE-GGA level of DFT.

Computed properties:
The space group is R-3m, No. 166. Its calculated formation energy is 295 meV/atom. The density of states at the Fermi level is 5.18 states/eV/cell. As for the size of the total moment: 1.2969 μB/atom.

Structure (extended XYZ):
```
4
Lattice="-1.443 -0.933 2.392 0.945 -2.380 1.455 5.102 4.193 6.529" Properties=species:S:1:pos:R:3 pbc="T T T"
P 3.492 2.574 4.925
P 1.111 -1.695 5.450
Cu 2.302 0.440 5.188
Pu 0.000 0.000 0.000
```

=====

Computed, not measured: a relaxed Pu4Cu5P7 crystal at the PBE-GGA level of DFT.

Computed properties:
The space group is I-42m, No. 121. Its calculated formation energy is -624 meV/atom. The density of states at the Fermi level is 31.35 states/eV/cell. As for the size of the total moment: 1.2753 μB/atom.

Structure (extended XYZ):
```
16
Lattice="5.067 0.000 -1.312 -0.340 5.055 -1.312 0.028 0.030 10.546" Properties=species:S:1:pos:R:3 pbc="T T T"
Pu 0.679 0.726 7.731
Pu 2.993 3.201 6.447
Pu 4.242 1.885 0.833
Pu 1.596 4.359 0.833
Cu 3.559 3.806 3.304
Cu 1.196 1.279 4.618
Cu 1.026 3.807 3.961
Cu 3.729 1.279 3.961
Cu 0.000 0.000 0.000
P 4.379 4.683 1.211
P 1.997 2.136 2.533
P 0.205 2.949 6.050
P 2.929 0.402 6.050
P 2.364 2.528 -1.312
P 2.533 0.000 -0.656
P -0.170 2.528 -0.656
```

=====

Computed, not measured: a relaxed RbCu2P crystal at the PBE-GGA level of DFT.

Computed properties:
The space group is Imma, No. 74. The polymorph energy (0 for the lowest one) is 26 meV per atom. Its calculated formation energy is -167 meV/atom. As for the size of the total moment: 0.0000 μB/atom.

Structure (extended XYZ):
```
16
Lattice="6.252 0.000 0.000 0.000 8.371 0.000 0.000 0.000 8.576" Properties=species:S:1:pos:R:3 pbc="T T T"
Rb 0.000 2.093 5.294
Rb 3.126 6.279 1.007
Rb 0.000 6.279 3.283
Rb 3.126 2.093 7.569
Cu 0.000 0.000 0.000
Cu 3.126 4.186 4.288
Cu 1.564 6.279 6.433
Cu 4.688 2.093 2.143
Cu 4.688 6.279 6.433
Cu 1.564 2.093 2.143
Cu 0.000 4.186 0.000
Cu 3.126 0.000 4.288
P 3.126 6.279 4.863
P 3.126 2.093 3.714
P 0.000 2.093 0.574
P 0.000 6.279 8.002
```

=====

Computed, not measured: a relaxed RbCuP3 crystal at the PBE-GGA level of DFT.

Computed properties:
The space group is Pm-3m, No. 221. The polymorph energy (0 for the lowest one) is 1830 meV per atom. Its calculated formation energy is 2417 meV/atom. The density of states at the Fermi level is 7.61 states/eV/cell. As for the size of the total moment: 0.2819 μB/atom.

Structure (extended XYZ):
```
5
Lattice="-3.801 3.155 -2.247 -3.424 -1.266 4.015 1.810 4.230 2.878" Properties=species:S:1:pos:R:3 pbc="T T T"
P -1.712 -0.633 2.007
P 0.905 2.115 1.439
P -1.900 1.577 -1.123
Cu -2.708 3.059 2.323
Rb 0.000 0.000 0.000
```

=====

Computed, not measured: a relaxed RbCuP crystal at the PBE-GGA level of DFT.

Computed properties:
The space group is P-6m2, No. 187. Its calculated formation energy is -194 meV/atom. The density of states at the Fermi level is 2.31 states/eV/cell. As for the size of the total moment: 0.0000 μB/atom.

Structure (extended XYZ):
```
3
Lattice="5.544 0.000 0.000 0.000 3.937 0.000 0.000 -1.969 3.410" Properties=species:S:1:pos:R:3 pbc="T T T"
P 0.924 0.000 0.000
Cu 0.924 1.969 1.137
Rb 3.696 0.000 2.273
```

=====

Computed, not measured: a relaxed Rb2Cu2P crystal at the PBE-GGA level of DFT.

Computed properties:
The space group is P4/mbm, No. 127. The polymorph energy (0 for the lowest one) is 0 meV per atom. Its calculated formation energy is 219 meV/atom. The density of states at the Fermi level is 2.25 states/eV/cell. As for the size of the total moment: 0.0000 μB/atom.

Structure (extended XYZ):
```
10
Lattice="-1.016 3.334 -5.550 3.681 -4.324 -3.271 -4.478 -3.047 -1.011" Properties=species:S:1:pos:R:3 pbc="T T T"
P 0.000 0.000 0.000
P 1.332 -0.495 -4.410
Cu 2.782 -2.512 -4.752
Cu 1.513 0.048 -6.851
Cu -0.117 1.522 -4.069
Cu 1.151 -1.039 -1.970
Rb 0.092 -3.868 -3.766
Rb 0.068 -2.770 -6.971
Rb -1.906 -0.170 -6.065
Rb -1.882 -1.268 -2.860
```

=====

Computed, not measured: a relaxed RbCu6P2 crystal at the PBE-GGA level of DFT.

Computed properties:
The space group is Immm, No. 71. Its calculated formation energy is 153 meV/atom. The density of states at the Fermi level is 4.44 states/eV/cell. As for the size of the total moment: 0.0000 μB/atom.

Structure (extended XYZ):
```
9
Lattice="-3.637 -1.346 -0.478 -1.982 -2.432 5.932 -4.130 4.476 2.816" Properties=species:S:1:pos:R:3 pbc="T T T"
Rb -3.637 -1.346 -0.478
Cu -2.807 1.309 1.686
Cu -6.942 -0.611 6.583
Cu -7.621 1.575 5.598
Cu -4.538 -0.732 4.622
Cu -5.210 1.429 3.648
Cu -2.127 -0.878 2.672
P -5.349 0.998 5.902
P -4.399 -0.300 2.368
```

=====

Computed, not measured: a relaxed RbCu2P crystal at the PBE-GGA level of DFT.

Computed properties:
The space group is Fm-3m, No. 225. The polymorph energy (0 for the lowest one) is 865 meV per atom. Its calculated formation energy is 672 meV/atom. The density of states at the Fermi level is 0.45 states/eV/cell. As for the size of the total moment: 0.0000 μB/atom.

Structure (extended XYZ):
```
4
Lattice="1.793 -4.363 -0.541 0.474 -2.855 3.764 -2.811 -3.797 0.469" Properties=species:S:1:pos:R:3 pbc="T T T"
P 0.000 0.000 0.000
Cu -0.136 -2.753 0.923
Cu -0.408 -8.260 2.769
Rb -0.272 -5.507 1.846
```